Entry 1:
Here is an optimized crystal structure of Sr2MnW from Alexandria via LeMat-Bulk. Energies are from GGA-PBE.

```
Sr2MnW
1.0
-5.855 -0.022 -1.174
2.482 -3.316 5.963
-0.547 1.489 2.698
W Sr Mn
1 2 1
direct
0.500 0.500 0.000
0.000 0.500 0.500
0.000 0.000 0.000
0.500 0.000 0.500
```

Properties
- Spin magnetization: 3.3 μB/cell
- DFT formation energy: 1.27 eV/atom
- Space group: Cmmm
- Theoretical density: 6.715 g cm⁻³

Entry 2:
Here is an optimized crystal structure of SrMn2W from Alexandria via LeMat-Bulk. Energies are from GGA-PBE.

```
SrMn2W
1.0
-1.909 0.677 -2.468
-2.541 -0.862 1.729
-0.712 7.130 2.507
Mn Sr W
2 1 1
direct
0.000 0.000 0.578
0.000 0.000 0.922
0.500 0.500 0.250
0.500 0.500 0.750
```

Properties
- Spin magnetization: 4.6 μB/cell
- DFT formation energy: 0.52 eV/atom
- Space group: P4/mmm
- Theoretical density: 8.184 g cm⁻³

Entry 3:
Here is an optimized crystal structure of Sr2MnW from Alexandria via LeMat-Bulk. Energies are from GGA-PBE.

```
Sr2MnW
1.0
-3.131 -5.579 -0.502
1.683 -3.963 -4.758
1.791 3.134 5.305
Sr W Mn
2 1 1
direct
0.266 0.766 0.500
0.974 0.974 0.000
0.564 0.564 0.000
0.695 0.195 0.500
```

Properties
- Spin magnetization: 1.2 μB/cell
- DFT formation energy: 0.79 eV/atom
- Space group: Imm2
- Theoretical density: 6.235 g cm⁻³

Entry 4:
Here is an optimized crystal structure of SrMn2W from Alexandria via LeMat-Bulk. Energies are from GGA-PBE.

```
SrMn2W
1.0
-3.375 2.483 2.703
-3.458 -0.883 -3.481
-0.727 -2.452 1.345
W Sr Mn
1 1 2
direct
0.000 0.500 0.500
0.500 0.000 0.500
0.000 0.000 0.000
0.500 0.500 0.000
```

Properties
- Spin magnetization: 5.2 μB/cell
- DFT formation energy: 0.99 eV/atom
- Space group: Cmmm
- Theoretical density: 8.815 g cm⁻³

Entry 5:
Here is an optimized crystal structure of Sr2MnW from Alexandria via LeMat-Bulk. Energies are from GGA-PBE.

```
Sr2MnW
1.0
-2.622 3.524 2.408
-2.262 -3.238 2.275
3.157 0.103 3.286
Mn Sr W
1 2 1
direct
0.500 0.000 0.500
0.000 0.000 0.000
0.000 0.500 0.500
0.500 0.500 0.000
```

Properties
- Spin magnetization: 2.4 μB/cell
- DFT formation energy: 1.31 eV/atom
- Space group: P4/mmm
- Theoretical density: 6.606 g cm⁻³

Entry 6:
Here is an optimized crystal structure of Sr2MnW from Alexandria via LeMat-Bulk. Energies are from GGA-PBE.

```
Sr2MnW
1.0
-8.097 -8.014 -2.551
3.871 -0.408 -11.006
-0.718 -5.794 -6.229
Mn W Sr
2 2 4
direct
0.250 0.750 0.500
0.500 0.500 0.000
0.750 0.250 0.500
0.000 0.000 0.000
0.443 0.125 0.250
0.875 0.693 0.750
0.375 0.557 0.750
0.307 0.625 0.250
```

Properties
- Spin magnetization: 2.1 μB/cell
- DFT formation energy: 1.22 eV/atom
- Space group: I-42d
- Theoretical density: 4.627 g cm⁻³

Entry 7:
Here is an optimized crystal structure of Sr2MnW from Alexandria via LeMat-Bulk. Energies are from GGA-PBE.

```
Sr2MnW
1.0
-3.881 0.241 -4.370
-0.641 -5.321 -2.345
-0.231 1.881 5.535
Sr W Mn
2 1 1
direct
0.500 0.500 0.000
0.000 0.000 0.000
0.250 0.750 0.500
0.750 0.250 0.500
```

Properties
- Spin magnetization: 2.1 μB/cell
- DFT formation energy: 1.30 eV/atom
- Space group: I4/mmm
- Theoretical density: 6.319 g cm⁻³

Entry 8:
Here is an optimized crystal structure of Sr2MnW from Alexandria via LeMat-Bulk. Energies are from GGA-PBE.

```
Sr2MnW
1.0
3.092 -4.094 0.862
0.227 -2.137 4.738
-2.075 -4.697 0.837
Sr W Mn
2 1 1
direct
0.750 0.750 0.750
0.250 0.250 0.250
0.500 0.500 0.500
0.000 0.000 0.000
```

Properties
- Spin magnetization: 0.0 μB/cell
- DFT formation energy: 1.91 eV/atom
- Space group: Fm-3m
- Theoretical density: 6.905 g cm⁻³

Entry 9:
Here is an optimized crystal structure of SrMn2W from Alexandria via LeMat-Bulk. Energies are from GGA-PBE.

```
SrMn2W
1.0
4.705 0.000 0.000
0.000 4.705 0.000
2.353 2.353 8.124
Sr Mn W
2 4 2
direct
0.250 0.750 0.500
0.500 0.500 0.000
0.875 0.125 0.750
0.375 0.125 0.750
0.875 0.125 0.250
0.875 0.625 0.250
0.750 0.250 0.500
0.000 0.000 0.000
```

Properties
- Spin magnetization: 0.0 μB/cell
- DFT formation energy: 1.20 eV/atom
- Space group: I4_1/amd
- Theoretical density: 7.041 g cm⁻³

Entry 10:
Here is an optimized crystal structure of Sr2MnW from Alexandria via LeMat-Bulk. Energies are from GGA-PBE.

```
Sr2MnW
1.0
-8.195 -4.780 1.352
-5.685 -5.225 5.675
5.840 7.104 -2.696
Sr Mn W
2 1 1
direct
0.599 0.599 0.000
0.901 0.901 0.000
0.750 0.250 0.500
0.250 0.750 0.500
```

Properties
- Spin magnetization: 1.8 μB/cell
- DFT formation energy: 0.75 eV/atom
- Space group: Immm
- Theoretical density: 5.903 g cm⁻³

Entry 11:
Here is an optimized crystal structure of SrMn2W from Alexandria via LeMat-Bulk. Energies are from GGA-PBE.

```
SrMn2W
1.0
3.116 0.000 0.000
0.000 3.108 0.018
0.000 3.067 7.962
Mn W Sr
2 1 1
direct
0.500 0.325 0.174
0.000 0.016 0.984
0.500 0.666 0.834
0.000 0.492 0.508
```

Properties
- Spin magnetization: 4.4 μB/cell
- DFT formation energy: 0.70 eV/atom
- Space group: P4mm
- Theoretical density: 8.229 g cm⁻³

Entry 12:
Here is an optimized crystal structure of SrMnW4 from Alexandria via LeMat-Bulk. Energies are from GGA-PBE.

```
SrMnW4
1.0
0.000 3.868 3.868
3.868 0.000 3.868
3.868 3.868 0.000
W Mn Sr
4 1 1
direct
0.374 0.374 0.877
0.374 0.877 0.374
0.877 0.374 0.374
0.374 0.374 0.374
0.750 0.750 0.750
0.000 0.000 0.000
```

Properties
- Spin magnetization: 2.7 μB/cell
- DFT formation energy: 0.84 eV/atom
- Space group: F-43m
- Theoretical density: 12.596 g cm⁻³